A relaxed structure of CsSmMnO3, computed with PBE+U.

The calculation puts the final energy at -6.835 eV/atom. The calculation puts the size of the total moment at 5.00 μB/f.u.

Lattice parameters (Å, degrees): 3.696 8.026 9.993 114.03 90.00 90.00
Site moments in Bohr magnetons follow the coordinates.
Element x y z (fractional)
O 0.750 0.880 0.159  0.02
Sm 0.750 0.328 0.860  0.00
Cs 0.250 0.217 0.185  0.01
Mn 0.750 0.970 0.380  4.53
Cs 0.750 0.783 0.815  0.01
Mn 0.250 0.030 0.620  4.53
O 0.750 0.475 0.113  0.00
Sm 0.250 0.672 0.140  0.00
O 0.750 0.151 0.597  0.10
O 0.250 0.525 0.887  0.00
O 0.250 0.849 0.403  0.10
O 0.250 0.120 0.841  0.02